Record 1
K4CrRh: relaxed, GGA-PBE.

Values from the calculation:
- M_tot (μB per cell) = 5.1
- energy of formation from the pure elements (meV/atom) = 1113.4
- space group = F-43m
- uncorrected energy (eV per atom) = -2.447

```
K4CrRh
1.0
0.000 4.727 4.727
4.727 0.000 4.727
4.727 4.727 0.000
K Cr Rh
4 1 1
Direct
0.124 0.124 0.124
0.124 0.124 0.628
0.124 0.628 0.124
0.628 0.124 0.124
0.500 0.500 0.500
0.750 0.750 0.750
```



Record 2
ZnSi2Cl: relaxed, GGA-PBE.

Values from the calculation:
- raw formation energy (eV/atom) = 0.171
- relative energy among the computed polymorphs (meV per atom) = 176.5
- M_tot (μB per cell) = 0.0
- space group = Cmmm
- uncorrected energy (eV per atom) = -3.321

```
ZnSi2Cl
1.0
2.450 -3.162 0.000
2.450 3.162 0.000
0.000 0.000 4.879
Zn Si Cl
1 2 1
Direct
0.000 0.000 0.000
0.189 0.811 0.500
0.811 0.189 0.500
0.500 0.500 0.000
```